No. 1
This record from the Alexandria database describes a geometry-optimized Na4TbEr3Se8 structure. The functional is GGA-PBE.

The space group is R-3m (No. 166, hexagonal axes) and the conventional cell measures 8.2495, 8.2495 and 21.0265 Å, with angles of 90.00, 90.00 and 120.00 degrees. The inequivalent atoms are Na at (0.0000, 0.0000, 0.0000), Na at (0.0000, 0.5000, 0.0000), Tb at (0.0000, 0.0000, 0.5000), Er at (0.0000, 0.5000, 0.5000), Se at (0.0000, 0.0000, 0.2424) and Se at (0.0026, 0.5013, 0.7571).

The value obtained for the energy relative to the elements, uncorrected is -1705 meV/atom.

---

No. 2
This record from the Alexandria database describes a geometry-optimized Na2Tb3ErSe6 structure. The functional is GGA-PBE.

The space group is C2/m (No. 12) and the conventional cell measures 7.116, 12.310 and 7.170 Å, with angles of 90.00, 109.23 and 90.00 degrees. The inequivalent atoms are Na at (0.000, 0.166, 0.000), Tb at (0.000, 0.000, 0.500), Tb at (0.000, 0.330, 0.500), Er at (0.000, 0.500, 0.000), Se at (0.241, 0.500, 0.746) and Se at (0.247, 0.336, 0.250).

The value obtained for the energy relative to the elements, uncorrected is -1717 meV/atom.

---

No. 3
This record from the Alexandria database describes a geometry-optimized Na3TbEr2Se6 structure. The functional is GGA-PBE.

The space group is C2/m (No. 12) and the conventional cell measures 7.153, 12.390 and 7.399 Å, with angles of 90.00, 108.81 and 90.00 degrees. The inequivalent atoms are Na at (0.000, 0.000, 0.000), Na at (0.000, 0.334, 0.000), Tb at (0.000, 0.500, 0.500), Er at (0.000, 0.167, 0.500), Se at (0.240, 0.000, 0.729) and Se at (0.244, 0.332, 0.728).

The value obtained for the energy relative to the elements, uncorrected is -1705 meV/atom.

---

No. 4
This record from the Alexandria database describes a geometry-optimized Na2TbErSe4 structure. The functional is GGA-PBE.

The space group is P2/m (No. 10) and the conventional cell measures 7.168, 4.139 and 7.402 Å, with angles of 90.00, 108.82 and 90.00 degrees. The inequivalent atoms are Na at (0.000, 0.000, 0.000), Na at (0.500, 0.500, 0.000), Tb at (0.000, 0.500, 0.500), Er at (0.500, 0.000, 0.500), Se at (0.246, 0.000, 0.730) and Se at (0.260, 0.500, 0.272).

The value obtained for the energy relative to the elements, uncorrected is -1706 meV/atom.

---

- What is the energy relative to the elements, uncorrected in the second record?
  -1717 meV/atom